Record 1
Below is a PBEsol-optimized structure of TiCu2Ru, with properties calculated at the SCAN level.

Cell: 5.9175 5.9175 5.9175 Å, 90.00 90.00 90.00°
Closest atoms and distances in Å follow each position.
Space group Fm-3m (No. 225)
Unique sites:
1 Ti 0.0000 0.0000 0.0000 [4 per cell]  8 Cu 2.56
2 Cu 0.2500 0.2500 0.2500 [8 per cell]  4 Ru 2.56, 4 Ti 2.56
3 Ru 0.0000 0.0000 0.5000 [4 per cell]  8 Cu 2.56

Output
crystal system	cubic
total magnetic moment	0.000	μB per atom
total energy	-325.00	eV/cell

=====

Record 2
Below is a PBEsol-optimized structure of TiZnCuRu2, with properties calculated at the SCAN level.

Cell: 4.4082 4.4082 4.4510 Å, 90.00 90.00 90.00°
Closest atoms and distances in Å follow each position.
Space group P4/mmm (No. 123)
Unique sites:
1 Ti 0.0000 0.0000 0.0000 [1 per cell]  4 Ru 2.20, 2 Cu 2.23
2 Zn 0.5000 0.5000 0.5000 [1 per cell]  4 Cu 3.12, 8 Ru 3.13
3 Cu 0.0000 0.0000 0.5000 [1 per cell]  2 Ti 2.23
4 Ru 0.0000 0.5000 0.0000 [2 per cell]  2 Ti 2.20

Output
crystal system	tetragonal
total magnetic moment	0.184	μB per atom
total energy	-108.74	eV/cell

=====

Record 3
Below is a PBEsol-optimized structure of Tm2CuRu, with properties calculated at the SCAN level.

Cell: 6.6511 6.6511 6.6511 Å, 90.00 90.00 90.00°
Closest atoms and distances in Å follow each position.
Space group Fm-3m (No. 225)
Unique sites:
1 Tm 0.2500 0.2500 0.2500 [8 per cell]  4 Ru 2.88, 4 Cu 2.88
2 Cu 0.0000 0.0000 0.0000 [4 per cell]  8 Tm 2.88
3 Ru 0.0000 0.0000 0.5000 [4 per cell]  8 Tm 2.88

Output
crystal system	cubic
total magnetic moment	0.000	μB per atom
total energy	-622.66	eV/cell

=====

Record 4
Below is a PBEsol-optimized structure of CuRuW2, with properties calculated at the SCAN level.

Cell: 2.7292 2.7292 7.5791 Å, 90.00 90.00 90.00°
Closest atoms and distances in Å follow each position.
Space group P4/mmm (No. 123)
Unique sites:
1 Cu 0.0000 0.0000 0.0000 [1 per cell]  8 W 2.70, 4 Cu 2.73
2 Ru 0.0000 0.0000 0.5000 [1 per cell]  8 W 2.71, 4 Ru 2.73
3 W 0.5000 0.5000 0.2492 [2 per cell]  4 Cu 2.70, 4 Ru 2.71, 4 W 2.73

Output
crystal system	tetragonal
relative energy among the computed polymorphs	0	meV/atom
total magnetic moment	0.000	μB per atom
total energy	-188.40	eV/cell

=====

Record 5
Below is a PBEsol-optimized structure of Cu2RuW, with properties calculated at the SCAN level.

Cell: 3.7149 3.7149 7.4846 Å, 90.00 90.00 90.00°
Closest atoms and distances in Å follow each position.
Space group I-4m2 (No. 119)
Unique sites:
1 Cu 0.0000 0.0000 0.0000 [2 per cell]  4 Ru 2.63, 4 W 2.64, 4 Cu 2.64
2 Cu 0.0000 0.5000 0.2500 [2 per cell]  4 W 2.63, 4 Ru 2.64, 4 Cu 2.64
3 Ru 0.0000 0.0000 0.5000 [2 per cell]  8 Cu 2.63-2.64, 4 W 2.64
4 W 0.0000 0.5000 0.7500 [2 per cell]  8 Cu 2.63-2.64, 4 Ru 2.64

Output
crystal system	tetragonal
relative energy among the computed polymorphs	0	meV/atom
total magnetic moment	0.000	μB per atom
total energy	-268.52	eV/cell

=====

Record 6
Below is a PBEsol-optimized structure of CuRuW2, with properties calculated at the SCAN level.

Cell: 2.7305 2.7305 7.6149 Å, 90.00 90.00 90.00°
Closest atoms and distances in Å follow each position.
Space group P4mm (No. 99)
Unique sites:
1 Cu 0.0000 0.0000 0.0000 [1 per cell]  4 Ru 2.63, 4 W 2.66, 4 Cu 2.73
2 Ru 0.5000 0.5000 0.2350 [1 per cell]  4 Cu 2.63, 4 W 2.64, 4 Ru 2.73
3 W 0.0000 0.0000 0.4723 [1 per cell]  4 Ru 2.64, 8 W 2.73-2.92
4 W 0.5000 0.5000 0.7596 [1 per cell]  4 Cu 2.66, 8 W 2.73-2.92

Output
crystal system	tetragonal
relative energy among the computed polymorphs	47	meV/atom
total magnetic moment	0.000	μB per atom
total energy	-188.21	eV/cell

=====

Record 7
Below is a PBEsol-optimized structure of Cu2RuW, with properties calculated at the SCAN level.

Cell: 3.0795 3.0795 5.5412 Å, 90.00 90.00 90.00°
Closest atoms and distances in Å follow each position.
Space group P4mm (No. 99)
Unique sites:
1 Cu 0.0000 0.0000 0.0000 [1 per cell]  4 Cu 2.46, 1 Ru 2.66, 4 W 2.66
2 Cu 0.5000 0.5000 0.2051 [1 per cell]  4 Cu 2.46, 4 Ru 2.66, 1 W 2.67
3 Ru 0.0000 0.0000 0.4798 [1 per cell]  4 W 2.56, 5 Cu 2.66
4 W 0.5000 0.5000 0.7240 [1 per cell]  4 Ru 2.56, 5 Cu 2.66-2.67

Output
crystal system	tetragonal
relative energy among the computed polymorphs	75	meV/atom
total magnetic moment	0.000	μB per atom
total energy	-133.96	eV/cell

=====

Record 8
Below is a PBEsol-optimized structure of Cu2RuW, with properties calculated at the SCAN level.

Cell: 2.6445 4.0442 4.9962 Å, 90.00 100.65 90.00°
Closest atoms and distances in Å follow each position.
Space group Pm (No. 6)
Unique sites:
1 Cu 0.0000 0.0000 0.0000 [1 per cell]  2 Cu 2.34, 1 Ru 2.55
2 Cu 0.0801 0.5000 0.2399 [1 per cell]  2 Cu 2.34, 1 W 2.54
3 Ru 0.6616 0.0000 0.4869 [1 per cell]  7 Cu 2.55-2.74, 2 W 2.56, 2 Ru 2.64
4 W 0.4174 0.5000 0.7510 [1 per cell]  7 Cu 2.54-2.75, 2 Ru 2.56, 2 W 2.64

Output
crystal system	monoclinic
relative energy among the computed polymorphs	90	meV/atom
total magnetic moment	0.000	μB per atom
total energy	-133.90	eV/cell

=====

Record 9
Below is a PBEsol-optimized structure of YCuRu2, with properties calculated at the SCAN level.

Cell: 6.3004 6.3004 6.3004 Å, 90.00 90.00 90.00°
Closest atoms and distances in Å follow each position.
Space group F-43m (No. 216)
Unique sites:
1 Y 0.0000 0.0000 0.0000 [4 per cell]  4 Ru 2.73, 4 Cu 2.73
2 Cu 0.2500 0.2500 0.2500 [4 per cell]  4 Ru 2.73, 4 Y 2.73
3 Ru 0.0000 0.0000 0.5000 [4 per cell]  4 Ru 2.73, 4 Cu 2.73
4 Ru 0.2500 0.2500 0.7500 [4 per cell]  4 Ru 2.73, 4 Y 2.73

Output
crystal system	cubic
relative energy among the computed polymorphs	46	meV/atom
total magnetic moment	0.000	μB per atom
total energy	-448.49	eV/cell

=====

Record 10
Below is a PBEsol-optimized structure of Y2CuRu, with properties calculated at the SCAN level.

Cell: 6.7660 6.7660 6.7660 Å, 90.00 90.00 90.00°
Closest atoms and distances in Å follow each position.
Space group Fm-3m (No. 225)
Unique sites:
1 Y 0.2500 0.2500 0.2500 [8 per cell]  4 Ru 2.93, 4 Cu 2.93
2 Cu 0.0000 0.0000 0.0000 [4 per cell]  8 Y 2.93
3 Ru 0.0000 0.0000 0.5000 [4 per cell]  8 Y 2.93

Output
crystal system	cubic
total magnetic moment	0.000	μB per atom
total energy	-429.00	eV/cell

=====

Record 11
Below is a PBEsol-optimized structure of YCu2Ru, with properties calculated at the SCAN level.

Cell: 3.9159 3.9159 3.9597 Å, 90.00 90.00 90.00°
Closest atoms and distances in Å follow each position.
Space group P4/mmm (No. 123)
Unique sites:
1 Y 0.0000 0.0000 0.0000 [1 per cell]  4 Ru 2.77, 8 Cu 2.78
2 Cu 0.0000 0.5000 0.5000 [2 per cell]  4 Cu 2.77, 4 Ru 2.78, 4 Y 2.78
3 Ru 0.5000 0.5000 0.0000 [1 per cell]  4 Y 2.77, 8 Cu 2.78

Output
crystal system	tetragonal
total magnetic moment	0.119	μB per atom
total energy	-93.23	eV/cell

=====

Record 12
Below is a PBEsol-optimized structure of Y2CuRu, with properties calculated at the SCAN level.

Cell: 3.3918 4.3568 5.6058 Å, 90.00 90.00 90.00°
Closest atoms and distances in Å follow each position.
Space group Pmm2 (No. 25)
Unique sites:
1 Y 0.0000 0.0000 0.0000 [1 per cell]  2 Cu 2.67-2.93, 4 Ru 2.81
2 Y 0.5000 0.5000 0.4055 [1 per cell]  2 Ru 2.78-2.82, 4 Cu 2.84
3 Cu 0.0000 0.0000 0.5232 [1 per cell]  6 Y 2.67-2.93
4 Ru 0.5000 0.5000 0.9019 [1 per cell]  6 Y 2.78-2.82

Output
crystal system	orthorhombic
total magnetic moment	0.000	μB per atom
total energy	-105.90	eV/cell

=====

Density of states at the Fermi level per entry: 1.065 0.702 0.448 0.834 0.395 0.920 0.652 0.826 0.814 0.500 0.489 0.644 states/eV/atom